AcTb2Sm8 | PBE-GGA | relaxed

Mass density ... 7.4 g/cm³
Calculated total energy ... -4.52 eV per atom
Magnetic moment ... 0.00 μB per formula unit

Cell lengths 5.624, 10.451, 10.451 Å; angles 39.97, 93.41, 93.41 degrees
Fractional positions:
Sm1 0.271 0.134 0.595
Sm2 0.767 0.810 0.810
Sm3 0.729 0.405 0.866
Sm4 0.241 0.545 0.545
Sm5 0.729 0.866 0.405
Sm6 0.271 0.595 0.134
Sm7 0.233 0.190 0.190
Sm8 0.759 0.455 0.455
Tb1 0.750 0.285 0.285
Tb2 0.250 0.715 0.715
Ac1 0.000 0.000 0.000

=====

Ac8Tb4Sm | PBE-GGA | relaxed

Mass density ... 7.5 g/cm³
Calculated total energy ... -3.92 eV per atom
Magnetic moment ... 0.00 μB per formula unit

Cell lengths 11.793, 11.793, 8.334 Å; angles 90.00, 135.04, 120.00 degrees
Fractional positions:
Tb1 0.000 0.000 0.000
Tb2 0.500 0.500 0.000
Tb3 0.000 0.500 0.000
Tb4 0.500 0.000 0.000
Ac1 0.482 0.241 0.723
Ac2 0.518 0.759 0.760
Ac3 0.999 0.241 0.240
Ac4 0.999 0.758 0.240
Ac5 0.482 0.241 0.240
Ac6 0.001 0.242 0.760
Ac7 0.001 0.759 0.760
Ac8 0.518 0.759 0.277
Sm1 0.000 0.500 0.500

=====

Ac2Tb3Sm2 | PBE-GGA | relaxed

Mass density ... 8.1 g/cm³
Calculated total energy ... -4.34 eV per atom
Magnetic moment ... 0.00 μB per formula unit

Cell lengths 3.587, 5.790, 12.509 Å; angles 76.65, 90.00, 90.00 degrees
Fractional positions:
Tb1 0.000 0.718 0.563
Tb2 0.000 0.000 0.000
Tb3 0.000 0.282 0.437
Ac1 0.000 0.422 0.155
Ac2 0.000 0.578 0.845
Sm1 0.500 0.850 0.300
Sm2 0.500 0.150 0.700